(1)
VASP calculation (PBE) on a relaxed ReTePt2Au crystal.

Results
- Total moment: 4.7 μB/f.u.
- Energy relative to the elements, uncorrected: 1.62 eV/atom
- VASP energy: -4.571 eV per atom
- Symmetry: P4/mmm, No. 123

Geometry as POSCAR:
```
ReTePt2Au
1.0
4.952 0.000 0.000
0.000 5.068 0.000
0.000 0.000 4.952
Pt Re Te Au
2 1 1 1
Direct
0.500 0.000 0.000
0.000 0.000 0.500
0.500 0.500 0.500
0.000 0.000 0.000
0.000 0.500 0.000
```



(2)
VASP calculation (PBE) on a relaxed Tb2NiBi crystal.

Results
- Total moment: 0.0 μB/f.u.
- VASP energy: -4.895 eV per atom
- Energy of formation from the pure elements: -0.7 eV per formula unit
- Symmetry: R-3m, No. 166

Geometry as POSCAR:
```
Tb2NiBi
1.0
3.847 0.000 0.000
1.924 3.332 0.000
1.924 1.111 9.430
Bi Tb Ni
1 2 1
Direct
0.000 0.000 0.000
0.113 0.113 0.661
0.887 0.887 0.339
0.500 0.500 0.500
```



(3)
VASP calculation (PBE) on a relaxed AsPd crystal.

Results
- Total moment: 0.0 μB/f.u.
- VASP energy: -5.175 eV per atom
- Energy of formation from the pure elements: -0.5 eV per formula unit
- Symmetry: P-1, No. 2

Geometry as POSCAR:
```
AsPd
1.0
3.340 -0.001 -0.025
-1.662 4.401 0.011
-1.674 -0.623 4.775
Pd As
2 2
Direct
0.558 0.760 0.355
0.442 0.240 0.645
0.753 0.304 0.203
0.247 0.696 0.797
```



(4)
VASP calculation (PBE) on a relaxed SrInIBr2 crystal.

Results
- Total moment: 0.0 μB/f.u.
- Energy relative to the elements, uncorrected: -1.40 eV/atom
- VASP energy: -3.267 eV per atom
- Symmetry: P2_1/m, No. 11

Geometry as POSCAR:
```
SrInIBr2
1.0
4.999 0.000 0.000
0.000 8.432 -1.047
0.000 -4.512 10.685
Br Sr In I
4 2 2 2
Direct
0.750 0.500 0.624
0.750 0.568 0.151
0.250 0.500 0.376
0.250 0.432 0.849
0.250 0.308 0.062
0.750 0.692 0.938
0.250 0.250 0.504
0.750 0.750 0.496
0.750 0.033 0.865
0.250 0.967 0.135
```



(5)
VASP calculation (PBE) on a relaxed LaNiTe2 crystal.

Results
- Total moment: 0.9 μB/f.u.
- Energy relative to the elements, uncorrected: -0.59 eV/atom
- VASP energy: -4.842 eV per atom
- Symmetry: P4mm, No. 99

Geometry as POSCAR:
```
LaNiTe2
1.0
-0.333 -4.124 1.215
2.728 -1.145 -3.137
4.913 0.778 3.988
Ni Te La
1 2 1
Direct
0.500 0.500 0.769
0.500 0.500 0.360
0.000 0.000 0.919
0.000 0.000 0.452
```